A plane-wave DFT calculation with PBE+U was carried out for a geometry-optimized FeTe2SO structure.

VASP energy ... -19.5 eV per formula unit
Theoretical density ... 5.62 Mg/m³
Size of the total moment ... 3.9 μB/f.u.

Geometry as POSCAR:
```
FeTe2SO
1.0
-0.678 5.219 -1.677
-2.164 0.575 2.663
4.272 1.562 3.134
O S Te Fe
1 1 2 1
Cartesian
-1.082 0.287 1.332 O
0.000 0.000 0.000 S
2.136 0.781 1.567 Te
-0.339 2.609 -0.839 Te
0.715 3.678 2.060 Fe
```